VASP calculation (GGA+U) on a relaxed Li3V2O4F2 crystal.

a = 8.9383 Å, b = 5.1600 Å, c = 7.4090 Å
α = 86.77°, β = 90.00°, γ = 90.00°
With the nearest neighbours (Å) after each atom.
Atoms (fractional coordinates):
Li 0.1654 0.6911 0.3718  3 F 1.89-2.01
Li 0.1674 0.3048 0.6240  3 F 1.88-2.01
Li 0.0000 0.1443 0.3599  3 F 1.93-1.95
Li 0.8346 0.6911 0.3718  3 F 1.89-2.01
Li 0.8326 0.3048 0.6240  3 F 1.88-2.01
Li 0.6769 0.8494 0.6473  3 F 1.91-1.97
Li 0.5000 0.7341 0.3637  1 F 1.86
Li 0.5000 0.3231 0.5956  3 F 1.82-1.93
Li 0.3231 0.8494 0.6473  3 F 1.91-1.97
V 0.1666 0.9996 0.0020  6 O 1.91-2.03
V 0.0000 0.5028 0.9911  6 O 2.02-2.10
V 0.8334 0.9996 0.0020  6 O 1.91-2.03
V 0.6668 0.4920 0.0043  6 O 2.01-2.09
V 0.5000 0.9962 0.0045  6 O 1.88-2.03
V 0.3332 0.4920 0.0043  6 O 2.01-2.09
O 0.1718 0.6912 0.8642  3 V 1.94-2.02
O 0.1612 0.3048 0.1360  3 V 1.91-2.04
O 0.0000 0.1684 0.8553  3 V 2.01-2.05
O 0.0000 0.8290 0.1490  3 V 2.02-2.10
O 0.8282 0.6912 0.8642  3 V 1.94-2.02
O 0.8388 0.3048 0.1360  3 V 1.91-2.04
O 0.6690 0.1610 0.8541  3 V 1.99-2.09
O 0.6659 0.8232 0.1467  3 V 2.00-2.06, 1 Li 2.22
O 0.5000 0.6876 0.8655  3 V 1.94-2.04
O 0.5000 0.3000 0.1344  3 V 1.88-2.01
O 0.3310 0.1610 0.8541  3 V 1.99-2.09
O 0.3341 0.8232 0.1467  3 V 2.00-2.06, 1 Li 2.22
F 0.1662 0.9989 0.4978  4 Li 1.88-1.93
F 0.0000 0.4706 0.4813  5 Li 1.95-2.01
F 0.8338 0.9989 0.4978  4 Li 1.88-1.93
F 0.6692 0.5293 0.5148  5 Li 1.93-2.13
F 0.5000 0.9866 0.5328  4 Li 1.82-1.91
F 0.3308 0.5293 0.5148  5 Li 1.93-2.13

Summary:
As for the volume: 10.3 A^3/atom. The distance to the lowest polymorph of the same formula is 14 meV per atom. Its crystal system is monoclinic.